Record 1
The following is a DFT calculation (PBE) of Zr2TaPt after structural relaxation.

Summary:
The value obtained for the formation energy is 186 meV/atom.

a b c (Å): 10.7272 10.7272 10.7272
angles (deg): 158.62 158.62 30.42
With the nearest neighbours (Å) after each atom.
Fractional positions:
Zr  0.1234  0.6250  0.9984  4 Zr 2.80-2.82, 2 Pt 2.94, 2 Ta 2.95
Zr  0.3750  0.3734  0.4984  4 Zr 2.80-2.82, 2 Pt 2.94, 2 Ta 2.95
Zr  0.6266  0.1250  0.0016  4 Zr 2.80-2.82, 2 Pt 2.94, 2 Ta 2.95
Zr  0.8750  0.8766  0.5016  4 Zr 2.80-2.82, 2 Pt 2.94, 2 Ta 2.95
Ta  0.2500  0.7500  0.5000  4 Pt 2.81, 4 Zr 2.95
Ta  0.5000  0.5000  0.0000  4 Pt 2.81, 4 Zr 2.95
Pt  0.0000  0.0000  0.0000  4 Ta 2.81, 4 Zr 2.94
Pt  0.7500  0.2500  0.5000  4 Ta 2.81, 4 Zr 2.94

=====

Record 2
The following is a DFT calculation (PBE) of Zr3Ta5Pt12 after structural relaxation.

Summary:
The value obtained for the formation energy is -197 meV/atom.

a b c (Å): 13.1808 13.1808 13.1808
angles (deg): 109.47 109.47 109.47
With the nearest neighbours (Å) after each atom.
Fractional positions:
Zr  0.1250  0.2500  0.3750  8 Pt 2.72-2.82
Zr  0.1250  0.3750  0.7500  8 Pt 2.72-2.82
Zr  0.2500  0.3750  0.1250  8 Pt 2.72-2.82
Zr  0.2500  0.8750  0.6250  8 Pt 2.72-2.82
Zr  0.3750  0.1250  0.2500  8 Pt 2.72-2.82
Zr  0.3750  0.7500  0.1250  8 Pt 2.72-2.82
Zr  0.6250  0.2500  0.8750  8 Pt 2.72-2.82
Zr  0.6250  0.8750  0.7500  8 Pt 2.72-2.82
Zr  0.7500  0.1250  0.3750  8 Pt 2.72-2.82
Zr  0.7500  0.6250  0.8750  8 Pt 2.72-2.82
Zr  0.8750  0.6250  0.2500  8 Pt 2.72-2.82
Zr  0.8750  0.7500  0.6250  8 Pt 2.72-2.82
Ta  0.0000  0.0000  0.0000  6 Pt 2.59
Ta  0.0000  0.0000  0.5000  6 Pt 2.59
Ta  0.0000  0.5000  0.0000  6 Pt 2.59
Ta  0.0000  0.5000  0.5000  6 Pt 2.59
Ta  0.1250  0.7500  0.8750  4 Pt 2.52
Ta  0.1250  0.8750  0.2500  4 Pt 2.52
Ta  0.2500  0.1250  0.8750  4 Pt 2.52
Ta  0.2500  0.6250  0.3750  4 Pt 2.52
Ta  0.3750  0.2500  0.6250  4 Pt 2.52
Ta  0.3750  0.6250  0.7500  4 Pt 2.52
Ta  0.5000  0.0000  0.0000  6 Pt 2.59
Ta  0.5000  0.0000  0.5000  6 Pt 2.59
Ta  0.5000  0.5000  0.0000  6 Pt 2.59
Ta  0.5000  0.5000  0.5000  6 Pt 2.59
Ta  0.6250  0.3750  0.2500  4 Pt 2.52
Ta  0.6250  0.7500  0.3750  4 Pt 2.52
Ta  0.7500  0.3750  0.6250  4 Pt 2.52
Ta  0.7500  0.8750  0.1250  4 Pt 2.52
Ta  0.8750  0.1250  0.7500  4 Pt 2.52
Ta  0.8750  0.2500  0.1250  4 Pt 2.52
Pt  0.0601  0.2265  0.1386  2 Ta 2.52-2.59, 2 Zr 2.72-2.82
Pt  0.0601  0.3336  0.9215  2 Ta 2.52-2.59, 2 Zr 2.72-2.82
Pt  0.0785  0.6386  0.4121  2 Ta 2.52-2.59, 2 Zr 2.72-2.82
Pt  0.0785  0.9399  0.6664  2 Ta 2.52-2.59, 2 Zr 2.72-2.82
Pt  0.0879  0.7265  0.6664  2 Ta 2.52-2.59, 2 Zr 2.72-2.82
Pt  0.0879  0.8614  0.4215  2 Ta 2.52-2.59, 2 Zr 2.72-2.82
Pt  0.1386  0.0601  0.2265  2 Ta 2.52-2.59, 2 Zr 2.72-2.82
Pt  0.1386  0.5785  0.9121  2 Ta 2.52-2.59, 2 Zr 2.72-2.82
Pt  0.1664  0.2265  0.5879  2 Ta 2.52-2.59, 2 Zr 2.72-2.82
Pt  0.1664  0.4399  0.5785  2 Ta 2.52-2.59, 2 Zr 2.72-2.82
Pt  0.2265  0.1386  0.0601  2 Ta 2.52-2.59, 2 Zr 2.72-2.82
Pt  0.2265  0.5879  0.1664  2 Ta 2.52-2.59, 2 Zr 2.72-2.82
Pt  0.2735  0.3336  0.9121  2 Ta 2.52-2.59, 2 Zr 2.72-2.82
Pt  0.2735  0.4399  0.3614  2 Ta 2.52-2.59, 2 Zr 2.72-2.82
Pt  0.3336  0.9121  0.2735  2 Ta 2.52-2.59, 2 Zr 2.72-2.82
Pt  0.3336  0.9215  0.0601  2 Ta 2.52-2.59, 2 Zr 2.72-2.82
Pt  0.3614  0.2735  0.4399  2 Ta 2.52-2.59, 2 Zr 2.72-2.82
Pt  0.3614  0.5879  0.9215  2 Ta 2.52-2.59, 2 Zr 2.72-2.82
Pt  0.4121  0.0785  0.6386  2 Ta 2.52-2.59, 2 Zr 2.72-2.82
Pt  0.4121  0.8336  0.7735  2 Ta 2.52-2.59, 2 Zr 2.72-2.82
Pt  0.4215  0.0879  0.8614  2 Ta 2.52-2.59, 2 Zr 2.72-2.82
Pt  0.4215  0.8336  0.5601  2 Ta 2.52-2.59, 2 Zr 2.72-2.82
Pt  0.4399  0.3614  0.2735  2 Ta 2.52-2.59, 2 Zr 2.72-2.82
Pt  0.4399  0.5785  0.1664  2 Ta 2.52-2.59, 2 Zr 2.72-2.82
Pt  0.5601  0.4215  0.8336  2 Ta 2.52-2.59, 2 Zr 2.72-2.82
Pt  0.5601  0.6386  0.7265  2 Ta 2.52-2.59, 2 Zr 2.72-2.82
Pt  0.5785  0.1664  0.4399  2 Ta 2.52-2.59, 2 Zr 2.72-2.82
Pt  0.5785  0.9121  0.1386  2 Ta 2.52-2.59, 2 Zr 2.72-2.82
Pt  0.5879  0.1664  0.2265  2 Ta 2.52-2.59, 2 Zr 2.72-2.82
Pt  0.5879  0.9215  0.3614  2 Ta 2.52-2.59, 2 Zr 2.72-2.82
Pt  0.6386  0.4121  0.0785  2 Ta 2.52-2.59, 2 Zr 2.72-2.82
Pt  0.6386  0.7265  0.5601  2 Ta 2.52-2.59, 2 Zr 2.72-2.82
Pt  0.6664  0.0785  0.9399  2 Ta 2.52-2.59, 2 Zr 2.72-2.82
Pt  0.6664  0.0879  0.7265  2 Ta 2.52-2.59, 2 Zr 2.72-2.82
Pt  0.7265  0.5601  0.6386  2 Ta 2.52-2.59, 2 Zr 2.72-2.82
Pt  0.7265  0.6664  0.0879  2 Ta 2.52-2.59, 2 Zr 2.72-2.82
Pt  0.7735  0.4121  0.8336  2 Ta 2.52-2.59, 2 Zr 2.72-2.82
Pt  0.7735  0.8614  0.9399  2 Ta 2.52-2.59, 2 Zr 2.72-2.82
Pt  0.8336  0.5601  0.4215  2 Ta 2.52-2.59, 2 Zr 2.72-2.82
Pt  0.8336  0.7735  0.4121  2 Ta 2.52-2.59, 2 Zr 2.72-2.82
Pt  0.8614  0.4215  0.0879  2 Ta 2.52-2.59, 2 Zr 2.72-2.82
Pt  0.8614  0.9399  0.7735  2 Ta 2.52-2.59, 2 Zr 2.72-2.82
Pt  0.9121  0.1386  0.5785  2 Ta 2.52-2.59, 2 Zr 2.72-2.82
Pt  0.9121  0.2735  0.3336  2 Ta 2.52-2.59, 2 Zr 2.72-2.82
Pt  0.9215  0.0601  0.3336  2 Ta 2.52-2.59, 2 Zr 2.72-2.82
Pt  0.9215  0.3614  0.5879  2 Ta 2.52-2.59, 2 Zr 2.72-2.82
Pt  0.9399  0.6664  0.0785  2 Ta 2.52-2.59, 2 Zr 2.72-2.82
Pt  0.9399  0.7735  0.8614  2 Ta 2.52-2.59, 2 Zr 2.72-2.82